# 1
A PBEsol-optimized structure of YZn2GaS. Source: Alexandria, functional SCAN.

Symmetry   P4/mmm, No. 123
Magnetic moment   0.00 μB/f.u.
Formation energy from raw total energies   1.018 eV/atom
Density of states at the Fermi level   3.01 states/eV/f.u.

```
YZn2GaS
1.0
5.333 0.000 0.000
0.000 5.333 0.000
0.000 0.000 5.527
Y Zn Ga S
1 2 1 1
direct
0.000 0.000 0.000
0.000 0.500 0.000
0.500 0.000 0.000
0.000 0.000 0.500
0.500 0.500 0.500
```

---

# 2
A PBEsol-optimized structure of HgPb2W. Source: Alexandria, functional SCAN.

E_form   1.084 eV per atom
Symmetry   Pmmm, No. 47
Magnetic moment   0.00 μB/f.u.
Density of states at the Fermi level   3.04 states/eV/f.u.

```
HgPb2W
1.0
3.144 0.000 0.000
0.000 5.181 0.000
0.000 0.000 5.467
Hg Pb W
1 2 1
direct
0.000 0.000 0.000
0.000 0.500 0.500
0.500 0.500 0.000
0.500 0.000 0.500
```

---

# 3
A PBEsol-optimized structure of InMoCl. Source: Alexandria, functional SCAN.

Symmetry   F-43m, No. 216
Magnetic moment   3.56 μB/f.u.
Formation energy from raw total energies   1.188 eV/atom
Density of states at the Fermi level   2.06 states/eV/f.u.

```
InMoCl
1.0
0.000 3.124 3.124
3.124 0.000 3.124
3.124 3.124 0.000
In Mo Cl
1 1 1
direct
0.000 0.000 0.000
0.500 0.500 0.500
0.250 0.250 0.250
```

---

# 4
A PBEsol-optimized structure of CuAg3. Source: Alexandria, functional SCAN.

E_form   0.093 eV per atom
Symmetry   P6_3/mmc, No. 194
Magnetic moment   0.00 μB/f.u.
Density of states at the Fermi level   0.97 states/eV/f.u.

```
CuAg3
1.0
5.622 0.000 0.000
-2.811 4.869 0.000
0.000 0.000 4.507
Cu Ag
2 6
direct
0.333 0.667 0.250
0.667 0.333 0.750
0.169 0.339 0.750
0.169 0.831 0.750
0.339 0.169 0.250
0.661 0.831 0.750
0.831 0.169 0.250
0.831 0.661 0.250
```

---

# 5
A PBEsol-optimized structure of RbSn2Bi2. Source: Alexandria, functional SCAN.

E_form   -0.170 eV per atom
Symmetry   I4/mmm, No. 139
Magnetic moment   0.00 μB/f.u.
Density of states at the Fermi level   2.15 states/eV/f.u.

```
RbSn2Bi2
1.0
-2.714 2.714 6.334
2.714 -2.714 6.334
2.714 2.714 -6.334
Rb Sn Bi
1 2 2
direct
0.000 0.000 0.000
0.250 0.750 0.500
0.750 0.250 0.500
0.367 0.367 0.000
0.633 0.633 0.000
```

---

# 6
A PBEsol-optimized structure of Ca2CdPt. Source: Alexandria, functional SCAN.

E_form   -0.721 eV per atom
Symmetry   P4/mmm, No. 123
Magnetic moment   0.00 μB/f.u.
Density of states at the Fermi level   2.20 states/eV/f.u.

```
Ca2CdPt
1.0
3.534 0.000 0.000
0.000 3.534 0.000
0.000 0.000 7.422
Ca Cd Pt
2 1 1
direct
0.000 0.000 0.219
0.000 0.000 0.781
0.500 0.500 0.500
0.500 0.500 0.000
```

---

# 7
A PBEsol-optimized structure of MgB2Se. Source: Alexandria, functional SCAN.

Symmetry   Fm-3m, No. 225
Magnetic moment   0.00 μB/f.u.
Formation energy from raw total energies   1.451 eV/atom
Density of states at the Fermi level   1.86 states/eV/f.u.

```
MgB2Se
1.0
0.000 2.953 2.953
2.953 0.000 2.953
2.953 2.953 0.000
Mg B Se
1 2 1
direct
0.000 0.000 0.000
0.250 0.250 0.250
0.750 0.750 0.750
0.500 0.500 0.500
```

---

# 8
A PBEsol-optimized structure of TlAg2Au2. Source: Alexandria, functional SCAN.

E_form   0.063 eV per atom
Symmetry   I4/mmm, No. 139
Magnetic moment   0.00 μB/f.u.
Density of states at the Fermi level   1.30 states/eV/f.u.
Polymorph energy (0 for the lowest one)   0.0557 eV/atom

```
TlAg2Au2
1.0
-1.930 1.930 6.782
1.930 -1.930 6.782
1.930 1.930 -6.782
Tl Ag Au
1 2 2
direct
0.000 0.000 0.000
0.400 0.400 0.000
0.600 0.600 0.000
0.250 0.750 0.500
0.750 0.250 0.500
```

---

# 9
A PBEsol-optimized structure of ZnPt2. Source: Alexandria, functional SCAN.

E_form   -0.388 eV per atom
Symmetry   P-3m1, No. 164
Magnetic moment   0.00 μB/f.u.
Density of states at the Fermi level   1.11 states/eV/f.u.

```
ZnPt2
1.0
2.766 0.000 0.000
-1.383 2.395 0.000
0.000 0.000 6.521
Zn Pt
1 2
direct
0.000 0.000 0.000
0.333 0.667 0.683
0.667 0.333 0.317
```

---

# 10
A PBEsol-optimized structure of LaBe2Tc. Source: Alexandria, functional SCAN.

E_form   0.426 eV per atom
Symmetry   Imm2, No. 44
Magnetic moment   0.00 μB/f.u.
Density of states at the Fermi level   1.80 states/eV/f.u.
Polymorph energy (0 for the lowest one)   0.0000 eV/atom

```
LaBe2Tc
1.0
-1.802 2.488 3.673
1.802 -2.488 3.673
1.802 2.488 -3.673
La Be Tc
1 2 1
direct
0.000 0.000 0.000
0.307 0.807 0.500
0.442 0.442 0.000
0.642 0.142 0.500
```

---

# 11
A PBEsol-optimized structure of Li2SnP6O18. Source: Alexandria, functional SCAN.

Symmetry   P1, No. 1
Magnetic moment   0.08 μB/f.u.
Formation energy from raw total energies   -2.311 eV/atom
Density of states at the Fermi level   0.00 states/eV/f.u.

```
Li2SnP6O18
1.0
7.176 0.000 0.000
2.834 6.938 0.000
2.116 -0.762 7.238
Li Sn P O
2 1 6 18
direct
0.000 0.000 0.000
0.182 0.825 0.265
0.491 0.396 0.656
0.051 0.562 0.012
0.357 0.872 0.639
0.441 0.120 0.356
0.659 0.529 0.001
0.748 0.936 0.543
0.887 0.311 0.246
0.003 0.457 0.194
0.031 0.104 0.223
0.062 0.747 0.064
0.207 0.010 0.799
0.241 0.413 0.873
0.337 0.969 0.450
0.341 0.678 0.619
0.352 0.301 0.495
0.433 0.143 0.167
0.473 0.667 0.140
0.600 0.821 0.628
0.643 0.463 0.820
0.671 0.117 0.679
0.681 0.003 0.360
0.729 0.401 0.432
0.771 0.331 0.088
0.849 0.604 0.941
0.973 0.808 0.494
```

---

# 12
A PBEsol-optimized structure of Zr5Al. Source: Alexandria, functional SCAN.

E_form   -0.113 eV per atom
Symmetry   P4/mmm, No. 123
Magnetic moment   0.00 μB/f.u.
Density of states at the Fermi level   6.21 states/eV/f.u.

```
Zr5Al
1.0
3.123 0.000 0.000
0.000 3.123 0.000
0.000 0.000 12.977
Zr Al
5 1
direct
0.000 0.000 0.000
0.000 0.000 0.348
0.000 0.000 0.652
0.500 0.500 0.172
0.500 0.500 0.828
0.500 0.500 0.500
```

---

# 13
A PBEsol-optimized structure of MnAgAu2. Source: Alexandria, functional SCAN.

E_form   -0.224 eV per atom
Symmetry   P4mm, No. 99
Magnetic moment   4.33 μB/f.u.
Density of states at the Fermi level   1.40 states/eV/f.u.

```
MnAgAu2
1.0
3.332 0.000 0.000
0.000 3.332 0.000
0.000 0.000 5.863
Mn Ag Au
1 1 2
direct
0.000 0.000 0.000
0.500 0.500 0.253
0.000 0.000 0.504
0.500 0.500 0.772
```